1.
Zr2MnRe: relaxed, PBE.

Unit cell a=2.997 b=2.997 c=28.007 alpha=90.00 beta=90.00 gamma=120.00
Fractional coordinates of all 12 atoms:
Zr1 0.000 0.000 0.000
Zr2 0.000 0.000 0.235
Zr3 0.333 0.667 0.667
Zr4 0.333 0.667 0.901
Zr5 0.667 0.333 0.333
Zr6 0.667 0.333 0.568
Mn1 0.000 0.000 0.485
Mn2 0.333 0.667 0.152
Mn3 0.667 0.333 0.818
Re1 0.000 0.000 0.752
Re2 0.333 0.667 0.419
Re3 0.667 0.333 0.086

2.
AcThSc: relaxed, PBE.

Unit cell a=4.853 b=4.853 c=8.901 alpha=90.00 beta=90.00 gamma=90.00
Fractional coordinates of all 6 atoms:
Ac1 0.250 0.250 0.155
Ac2 0.750 0.750 0.845
Th1 0.250 0.250 0.744
Th2 0.750 0.750 0.256
Sc1 0.250 0.750 0.500
Sc2 0.750 0.250 0.500

Summary:
As for the energy above the lowest structure with this stoichiometry: 229 meV per atom.

E for the records above, in order: -9.394; -5.598 eV per atom
DOS at the Fermi energy for the records above, in order: 1.36; 1.91 states/eV per atom
Energy of formation for the records above, in order: 0.285; 0.355 eV per atom